A plane-wave DFT calculation with PBE was carried out for a relaxed BeZnNO crystal.

Geometry as POSCAR:
```
BeZnNO
1.0
3.076 0.000 0.000
0.000 3.076 0.000
0.000 0.000 7.313
Be Zn N O
2 2 2 2
Cartesian
0.769 2.307 0.000 Be
2.307 0.769 0.000 Be
0.769 0.769 2.234 Zn
2.307 2.307 5.079 Zn
0.769 0.769 6.462 N
2.307 2.307 0.851 N
0.769 2.307 3.656 O
2.307 0.769 3.656 O
```

Values from the calculation:
calculated volume	8.65	Å³ per atom
mass density	5.0	g/cm³
total DFT energy (no corrections)	-19.3	eV per formula unit


A plane-wave DFT calculation with PBE was carried out for a relaxed BeZnNO crystal.

Geometry as POSCAR:
```
BeZnNO
1.0
3.026 0.000 0.000
0.000 5.298 0.000
0.000 0.000 4.602
Be Zn N O
2 2 2 2
Cartesian
0.000 0.853 0.000 Be
0.000 4.445 2.301 Be
1.513 1.721 2.205 Zn
1.513 3.577 4.506 Zn
1.513 1.644 4.246 N
1.513 3.654 1.945 N
0.000 0.610 1.610 O
0.000 4.688 3.911 O
```

Values from the calculation:
calculated volume	9.22	Å³ per atom
mass density	4.7	g/cm³
total DFT energy (no corrections)	-21.6	eV per formula unit


A plane-wave DFT calculation with PBE was carried out for a relaxed BeZnNO crystal.

Geometry as POSCAR:
```
BeZnNO
1.0
2.745 0.000 0.000
0.000 5.328 0.000
0.000 0.000 4.989
Be Zn N O
2 2 2 2
Cartesian
0.000 0.871 0.000 Be
0.000 4.456 2.494 Be
1.373 1.724 2.561 Zn
1.373 3.604 0.067 Zn
0.000 0.634 1.703 N
0.000 4.693 4.197 N
1.373 1.690 4.550 O
1.373 3.638 2.056 O
```

Values from the calculation:
calculated volume	9.12	Å³ per atom
mass density	4.8	g/cm³
total DFT energy (no corrections)	-21.8	eV per formula unit


A plane-wave DFT calculation with PBE was carried out for a relaxed BeZnNO crystal.

Geometry as POSCAR:
```
BeZnNO
1.0
3.505 0.000 0.000
0.000 3.505 0.000
0.000 0.000 6.310
Be Zn N O
2 2 2 2
Cartesian
0.876 0.876 0.430 Be
2.629 2.629 5.880 Be
0.876 2.629 3.155 Zn
2.629 0.876 3.155 Zn
0.876 0.876 2.166 N
2.629 2.629 4.144 N
0.876 2.629 0.000 O
2.629 0.876 0.000 O
```

Values from the calculation:
calculated volume	9.69	Å³ per atom
mass density	4.5	g/cm³
total DFT energy (no corrections)	-20.7	eV per formula unit